VASP calculation (PBE with a Hubbard U) on Cd2MoO4 after structural relaxation.

abc: 5.302 5.302 9.438
angles: 90.00 90.00 90.00
Fractional coordinates of all 14 atoms:
Cd1 0.000 0.500 0.250
Cd2 0.000 0.500 0.750
Cd3 0.500 0.000 0.250
Cd4 0.500 0.000 0.750
Mo1 0.000 0.000 0.000
Mo2 0.500 0.500 0.500
O1 0.204 0.204 0.128
O2 0.204 0.796 0.872
O3 0.296 0.296 0.628
O4 0.296 0.704 0.372
O5 0.704 0.296 0.372
O6 0.704 0.704 0.628
O7 0.796 0.204 0.872
O8 0.796 0.796 0.128

Properties
Space group = I-42m
Uncorrected energy = -5.225 eV per atom
Fermi-level density of states = 3.38 states/eV/cell